A plane-wave DFT calculation with GGA-PBE was carried out for Ho5Er2Th5 after structural relaxation.

Lattice parameters (Å, degrees): 5.0194 7.8996 10.6880 72.75 76.42 71.48
Last column: nearest neighbours and their distance in Å.
Positions (direct):
Th 0.0000 0.0000 0.0000  2 Er 3.54, 8 Ho 3.54, 2 Th 3.56
Ho 0.5000 0.5000 0.5000  6 Th 3.54-3.55, 4 Er 3.56, 2 Ho 3.57
Ho 0.3318 0.3322 0.0042  4 Ho 3.49-3.58, 3 Er 3.52-3.58, 5 Th 3.54-3.61
Ho 0.4160 0.9199 0.2480  3 Ho 3.49-3.58, 7 Th 3.52-3.59, 2 Er 3.55
Th 0.2501 0.7530 0.7467  4 Th 3.51-3.56, 6 Ho 3.52-3.61, 2 Er 3.55
Th 0.8312 0.8346 0.5031  5 Th 3.51-3.52, 5 Ho 3.52-3.59, 2 Er 3.55-3.58
Ho 0.5840 0.0801 0.7520  3 Ho 3.49-3.58, 7 Th 3.52-3.59, 2 Er 3.55
Th 0.7499 0.2470 0.2533  4 Th 3.51-3.56, 6 Ho 3.52-3.61, 2 Er 3.55
Er 0.0833 0.5842 0.2493  7 Ho 3.52-3.58, 5 Th 3.54-3.58
Ho 0.6682 0.6678 0.9958  4 Ho 3.49-3.58, 3 Er 3.52-3.58, 5 Th 3.54-3.61
Th 0.1688 0.1654 0.4969  5 Th 3.51-3.52, 5 Ho 3.52-3.59, 2 Er 3.55-3.58
Er 0.9167 0.4158 0.7507  7 Ho 3.52-3.58, 5 Th 3.54-3.58

Results
crystal system: monoclinic
symmetry: C2/m
formation enthalpy at 0 K: 0.0451 eV per atom
spin magnetization: 0.0000 μB per atom